A plane-wave DFT calculation with PBE with a Hubbard U was carried out for crystalline Li3Co3P4O16 at its relaxed geometry.

a = 5.0844 Å, b = 7.6917 Å, c = 7.9399 Å
α = 87.45°, β = 89.19°, γ = 86.90°
Last column: nearest neighbours and their distance in Å.
Fractional coordinates of all 26 atoms:
Li: 0.0000 0.0000 0.0000  4 O 1.86-2.08
Li: 0.1590 0.8194 0.7178  4 O 1.87-2.06
Li: 0.6921 0.3131 0.4948  5 O 1.93-2.14
Co: 0.0740 0.9421 0.3726  5 O 1.96-1.99
Co: 0.4556 0.5100 0.2182  5 O 1.88-2.00
Co: 0.5820 0.4030 0.8423  5 O 1.97-2.14
P: 0.0346 0.6046 0.0527  4 O 1.49-1.60
P: 0.1227 0.2149 0.6655  4 O 1.51-1.58
P: 0.5457 0.1156 0.1637  4 O 1.55-1.56
P: 0.6059 0.7147 0.5437  4 O 1.54-1.56
O: 0.0257 0.7579 0.9312  1 P 1.49
O: 0.0392 0.1650 0.4834  1 P 1.58
O: 0.1308 0.0575 0.7856  1 P 1.51
O: 0.1401 0.6506 0.2327  1 P 1.59
O: 0.2663 0.4619 0.0160  1 P 1.60
O: 0.2791 0.0259 0.1737  1 P 1.55
O: 0.3870 0.8555 0.5037  1 P 1.54
O: 0.3962 0.2974 0.6572  1 P 1.56
O: 0.5304 0.2706 0.2835  1 P 1.56
O: 0.5429 0.6357 0.7236  1 P 1.56
O: 0.6140 0.1818 0.9811  1 P 1.56
O: 0.6216 0.5646 0.4178  1 P 1.56
O: 0.7666 0.5174 0.0617  1 P 1.55
O: 0.7693 0.9815 0.2182  1 P 1.55
O: 0.8771 0.7994 0.5398  1 P 1.56
O: 0.9118 0.3580 0.7149  1 P 1.55

## Properties
- Space group: P1, No. 1
- Energy: -6.58 eV per atom